# NaLaTi2O6

A geometry-optimized NaLaTi2O6 structure (PBE, the Alexandria database).

Values from the calculation:
volume = 153.7 Å³/f.u.
magnetic moment = 0.0 μB per formula unit
N(E_F) = 0.000 states/eV per atom
uncorrected formation energy = -3008.2 meV/atom

Cell lengths 9.4695, 10.8704, 6.6819 Å; angles 90.00, 116.61, 90.00 degrees
Closest atoms and distances in Å follow each position.
Space group C2/c (No. 15)
One atom of each set of equivalent atoms:
Na: 0.0000 0.2264 0.2500 x4  4 O 2.31-2.42
La: 0.0000 0.1018 0.7500 x4  6 O 2.41-2.47
Ti: 0.1473 0.4255 0.6969 x8  4 O 1.77-1.92
O: 0.1138 0.2670 0.6290 x8  1 Ti 1.77
O: 0.1149 0.4667 0.9532 x8  2 Ti 1.92
O: 0.1355 0.0641 0.1578 x8  1 Ti 1.84

=====

# NaLaTi2O6

A geometry-optimized NaLaTi2O6 structure (PBE, the Alexandria database).

Values from the calculation:
volume = 118.6 Å³/f.u.
magnetic moment = 0.0 μB per formula unit
N(E_F) = 0.000 states/eV per atom
uncorrected formation energy = -3022.0 meV/atom

Cell lengths 7.7719, 5.5522, 5.4957 Å; angles 90.00, 90.00, 90.00 degrees
Closest atoms and distances in Å follow each position.
Space group Pmn2_1 (No. 31)
One atom of each set of equivalent atoms:
Na: 0.0000 0.2326 0.0000 x2  4 O 2.38-2.64
La: 0.0000 0.7128 0.5064 x2  8 O 2.44-2.74
Ti: 0.2475 0.2412 0.5103 x4  5 O 1.89-2.05
O: 0.0000 0.2617 0.4326 x2  2 Ti 1.97
O: 0.0000 0.7609 0.0541 x2  2 Ti 1.98
O: 0.2181 0.9629 0.7030 x4  2 Ti 1.89-2.05
O: 0.2193 0.4672 0.7670 x4  2 Ti 1.90-2.12

=====

# NaLaTiO4

A geometry-optimized NaLaTiO4 structure (PBE, the Alexandria database).

Values from the calculation:
volume = 92.2 Å³/f.u.
magnetic moment = 0.0 μB per formula unit
N(E_F) = 0.000 states/eV per atom
uncorrected formation energy = -2943.6 meV/atom

Cell lengths 3.8233, 3.8233, 12.6096 Å; angles 90.00, 90.00, 90.00 degrees
Closest atoms and distances in Å follow each position.
Space group I4mm (No. 107)
One atom of each set of equivalent atoms:
Na: 0.0000 0.0000 0.0000 x2  1 O 2.30
La: 0.0000 0.0000 0.2972 x2  5 O 2.42-2.59
Ti: 0.0000 0.0000 0.6333 x2  5 O 1.82-1.94
O: 0.0000 0.0000 0.4887 x2  1 Ti 1.82
O: 0.0000 0.0000 0.8179 x2  1 Na 2.30, 1 Ti 2.33
O: 0.0000 0.5000 0.1588 x4  2 Ti 1.94

=====

# NaLaZrTiO6

A geometry-optimized NaLaZrTiO6 structure (PBE, the Alexandria database).

Values from the calculation:
volume = 131.0 Å³/f.u.
magnetic moment = 0.0 μB per formula unit
N(E_F) = 0.000 states/eV per atom
uncorrected formation energy = -2989.1 meV/atom

Cell lengths 8.0624, 8.0624, 8.0624 Å; angles 90.00, 90.00, 90.00 degrees
Closest atoms and distances in Å follow each position.
Space group F-43m (No. 216)
One atom of each set of equivalent atoms:
Na: 0.0000 0.0000 0.0000 x4  12 O 2.85
La: 0.0000 0.0000 0.5000 x4  12 O 2.85
Zr: 0.2500 0.2500 0.2500 x4  6 O 2.08
Ti: 0.2500 0.2500 0.7500 x4  6 O 1.95
O: 0.0079 0.2500 0.7500 x24  1 Ti 1.95, 1 Zr 2.08

=====

# NaLaTl4O8

A geometry-optimized NaLaTl4O8 structure (PBE, the Alexandria database).

Values from the calculation:
volume = 228.5 Å³/f.u.
magnetic moment = 0.0 μB per formula unit
N(E_F) = 0.394 states/eV per atom
uncorrected formation energy = -1235.1 meV/atom

Cell lengths 6.9078, 6.9078, 16.5873 Å; angles 90.00, 90.00, 120.00 degrees
Closest atoms and distances in Å follow each position.
Space group R3m (No. 160, hexagonal axes)
One atom of each set of equivalent atoms:
Na: 0.0000 0.0000 0.0000 x3  6 O 2.39-2.42
La: 0.0000 0.0000 0.3813 x3  4 O 2.27-2.33
Tl: 0.0000 0.0000 0.6149 x3  4 O 2.22-2.27
Tl: 0.1681 0.3362 0.8316 x9  6 O 2.26-2.41
O: 0.0000 0.0000 0.2411 x3  1 La 2.33, 3 Tl 2.35
O: 0.0000 0.0000 0.7518 x3  4 Tl 2.27-2.41
O: 0.0255 0.5127 0.7587 x9  2 Tl 2.26, 1 La 2.27, 1 Na 2.39
O: 0.1765 0.3529 0.5741 x9  3 Tl 2.22-2.32, 1 Na 2.42

=====

# Na3La2TlO6

A geometry-optimized Na3La2TlO6 structure (PBE, the Alexandria database).

Values from the calculation:
volume = 188.5 Å³/f.u.
magnetic moment = 0.0 μB per formula unit
N(E_F) = 0.000 states/eV per atom
uncorrected formation energy = -2093.0 meV/atom

Cell lengths 6.1752, 10.7348, 6.0285 Å; angles 90.00, 109.40, 90.00 degrees
Closest atoms and distances in Å follow each position.
Space group C2/m (No. 12)
One atom of each set of equivalent atoms:
Na: 0.0000 0.0000 0.0000 x2  6 O 2.58-2.59
Na: 0.0000 0.3482 0.0000 x4  6 O 2.49-2.76
La: 0.0000 0.1671 0.5000 x4  6 O 2.44
Tl: 0.0000 0.5000 0.5000 x2  6 O 2.38-2.40
O: 0.2355 0.3375 0.7236 x8  1 Tl 2.38, 2 La 2.44, 2 Na 2.55-2.58
O: 0.2439 0.0000 0.7238 x4  1 Tl 2.40, 2 La 2.44, 3 Na 2.49-2.59